Material: CaSb
Method: DFT, PBE
State: optimized geometry

Unit cell a=6.4917 b=6.4917 c=5.4840 alpha=90.00 beta=90.00 gamma=148.94
Fractional coordinates of all 4 atoms:
Ca1 0.1175 0.8825 0.2500
Ca2 0.8825 0.1175 0.7500
Sb1 0.6216 0.3784 0.7500
Sb2 0.3784 0.6216 0.2500

Values from the calculation:
total moment: 0.00 μB per formula unit
DOS at the Fermi energy: 1.753 states/eV/cell
total energy: -3.86 eV/atom
density: 4.5 g/cm3
E_form (uncorrected): -0.797 eV per atom
space group: Cmcm (63)

Material: Cs2PrHg2S4
Method: DFT, PBE
State: optimized geometry

Unit cell a=4.2021 b=8.6181 c=8.5846 alpha=111.40 beta=104.17 gamma=90.00
Fractional coordinates of all 9 atoms:
S1 0.4719 0.2075 0.9438
S2 0.5281 0.7925 0.0562
S3 0.8157 0.7892 0.6315
S4 0.1843 0.2108 0.3685
Pr1 0.0000 0.0000 0.0000
Hg1 0.6882 0.0202 0.3765
Hg2 0.3118 0.9798 0.6235
Cs1 0.8724 0.4379 0.7448
Cs2 0.1276 0.5621 0.2552

Values from the calculation:
total moment: 0.00 μB per formula unit
DOS at the Fermi energy: 3.336 states/eV/cell
total energy: -3.61 eV/atom
density: 5.6 g/cm3
E_form (uncorrected): -0.984 eV per atom
space group: C2/m (12)

Material: LaPr5Sn4
Method: DFT, PBE
State: optimized geometry

Unit cell a=5.5661 b=7.3730 c=11.5065 alpha=130.11 beta=104.00 gamma=90.00
Fractional coordinates of all 10 atoms:
Sn1 0.6762 0.1019 0.3525
Sn2 0.3238 0.8981 0.6475
Sn3 0.9914 0.7294 0.9827
Sn4 0.0086 0.2706 0.0173
Pr1 0.8336 0.1571 0.6671
Pr2 0.1664 0.8429 0.3329
Pr3 0.5000 0.5000 0.0000
Pr4 0.1660 0.3245 0.3319
Pr5 0.8340 0.6755 0.6681
La1 0.5000 0.0000 0.0000

Values from the calculation:
total moment: 0.00 μB per formula unit
DOS at the Fermi energy: 6.417 states/eV/cell
total energy: -5.06 eV/atom
E_form: -0.58 eV per atom
density: 6.4 g/cm3
space group: C2/m (12)

Material: SnTe8Pd4
Method: DFT, PBE
State: optimized geometry

Unit cell a=8.1515 b=8.1515 c=8.2911 alpha=60.56 beta=60.56 gamma=60.00
Fractional coordinates of all 13 atoms:
Pd1 0.0000 0.5000 0.0000
Pd2 0.0000 0.0000 0.0000
Pd3 0.5000 0.5000 0.0000
Pd4 0.5000 0.0000 0.0000
Sn1 0.5000 0.5000 0.5000
Te1 0.7342 0.7342 0.7976
Te2 0.7298 0.2374 0.7953
Te3 0.2374 0.2374 0.7953
Te4 0.2702 0.7626 0.2047
Te5 0.2374 0.7298 0.7953
Te6 0.7626 0.2702 0.2047
Te7 0.7626 0.7626 0.2047
Te8 0.2658 0.2658 0.2024

Values from the calculation:
total moment: 0.00 μB per formula unit
DOS at the Fermi energy: 6.742 states/eV/cell
total energy: -4.08 eV/atom
density: 6.6 g/cm3
E_form (uncorrected): -0.242 eV per atom
space group: R-3m (166)

Material: Ba6Tl3Pd
Method: DFT, PBE
State: optimized geometry

Unit cell a=8.4875 b=9.4167 c=11.8058 alpha=90.00 beta=80.90 gamma=90.00
Fractional coordinates of all 20 atoms:
Pd1 0.0000 0.0000 0.0000
Pd2 0.5000 0.5000 0.5000
Ba1 0.6688 0.4459 0.2518
Ba2 0.8553 0.6986 0.9272
Ba3 0.8312 0.9459 0.2482
Ba4 0.3553 0.8014 0.4272
Ba5 0.1447 0.3014 0.0728
Ba6 0.3312 0.5541 0.7482
Ba7 0.6447 0.1986 0.5728
Ba8 0.3114 0.8425 0.0589
Ba9 0.6886 0.1575 0.9411
Ba10 0.8114 0.6575 0.5589
Ba11 0.1688 0.0541 0.7518
Ba12 0.1886 0.3425 0.4411
Tl1 0.5000 0.5000 0.0000
Tl2 0.9446 0.3837 0.7424
Tl3 0.5554 0.8837 0.7576
Tl4 0.0000 0.0000 0.5000
Tl5 0.0554 0.6163 0.2576
Tl6 0.4446 0.1163 0.2424

Values from the calculation:
total moment: 0.00 μB per formula unit
DOS at the Fermi energy: 23.277 states/eV/cell
total energy: -2.68 eV/atom
E_form: -0.30 eV per atom
density: 5.5 g/cm3
space group: P2_1/c (14)

Material: NpPaSb
Method: DFT, PBE
State: optimized geometry

Unit cell a=4.0983 b=4.0983 c=5.4155 alpha=112.23 beta=112.23 gamma=90.00
Fractional coordinates of all 3 atoms:
Pa1 0.6447 0.6447 0.2893
Sb1 0.9990 0.9990 0.9980
Np1 0.3564 0.3564 0.7127

Values from the calculation:
total moment: 5.15 μB per formula unit
DOS at the Fermi energy: 8.511 states/eV/cell
total energy: -9.04 eV/atom
density: 12.7 g/cm3
E_form (uncorrected): -0.184 eV per atom
excess energy over the best structure of this formula in the dataset: 0.0 kJ/mol of atoms
space group: I4mm (107)

Material: CsCaPb
Method: DFT, PBE
State: optimized geometry

Unit cell a=4.5312 b=4.5259 c=18.1122 alpha=90.02 beta=82.63 gamma=60.06
Fractional coordinates of all 6 atoms:
Pb1 0.8024 0.8696 0.3354
Pb2 0.5296 0.5059 0.2460
Cs1 0.2991 0.1205 0.0935
Cs2 0.0320 0.2557 0.4880
Ca1 0.7788 0.3815 0.8696
Ca2 0.5515 0.9952 0.7121

Values from the calculation:
total moment: 0.00 μB per formula unit
DOS at the Fermi energy: 3.786 states/eV/cell
total energy: -2.10 eV/atom
E_form: 0.08 eV per atom
density: 4.0 g/cm3
excess energy over the best structure of this formula in the dataset: 26.1 kJ/mol of atoms
space group: P-1 (2)

Material: Pm12Tl3Cd
Method: DFT, PBE
State: optimized geometry

Unit cell a=4.9602 b=4.9602 c=19.8062 alpha=90.00 beta=90.00 gamma=90.00
Fractional coordinates of all 16 atoms:
Pm1 0.5000 0.0000 0.6254
Pm2 0.0000 0.5000 0.8758
Pm3 0.5000 0.0000 0.1242
Pm4 0.0000 0.5000 0.3746
Pm5 0.5000 0.0000 0.8758
Pm6 0.5000 0.5000 0.2482
Pm7 0.5000 0.5000 0.0000
Pm8 0.5000 0.5000 0.7518
Pm9 0.5000 0.0000 0.3746
Pm10 0.0000 0.5000 0.1242
Pm11 0.5000 0.5000 0.5000
Pm12 0.0000 0.5000 0.6254
Cd1 0.0000 0.0000 0.0000
Tl1 0.0000 0.0000 0.5000
Tl2 0.0000 0.0000 0.7500
Tl3 0.0000 0.0000 0.2500

Values from the calculation:
total moment: 0.00 μB per formula unit
DOS at the Fermi energy: 23.874 states/eV/cell
total energy: -4.24 eV/atom
E_form: -0.18 eV per atom
density: 8.4 g/cm3
space group: P4/mmm (123)